The following is a DFT calculation (PBE-GGA) of YHg2Ru after structural relaxation.

Cell lengths 4.1520, 4.1520, 21.0689 Å; angles 90.00, 90.00, 90.00 degrees
With the nearest neighbours (Å) after each atom.
Space group I-42d (No. 122)
Inequivalent atoms, fractional coordinates:
Y  0.0000  0.0000  0.0000 x4  4 Ru 2.94, 4 Hg 3.05
Hg  0.2257  0.2500  0.6250 x8  4 Hg 2.80-3.08, 2 Ru 2.98, 2 Y 3.05
Ru  0.0000  0.0000  0.5000 x4  4 Y 2.94, 4 Hg 2.98

E_form, eV/atom: 0.144
Total moment, μB/atom: 0.000
Volume, Å³ per cell: 363
Uncorrected energy, eV per atom: -3.94